Entry 1:
Computed, not measured: a relaxed V2ZnTe2 crystal at the GGA-PBE level of DFT.

Cell: 7.1809 7.1809 3.6239 Å, 90.00 90.00 90.00°
Closest atoms and distances in Å follow each position.
Fractional coordinates of all 10 atoms:
V 0.1329 0.3671 0.0000  1 V 2.70, 6 Te 2.77-2.78, 2 Zn 2.80
V 0.3671 0.8671 0.0000  1 V 2.70, 6 Te 2.77-2.78, 2 Zn 2.80
V 0.6329 0.1329 0.0000  1 V 2.70, 6 Te 2.77-2.78, 2 Zn 2.80
V 0.8671 0.6329 0.0000  1 V 2.70, 6 Te 2.77-2.78, 2 Zn 2.80
Zn 0.0000 0.0000 0.0000  4 V 2.80
Zn 0.5000 0.5000 0.0000  4 V 2.80
Te 0.1602 0.6602 0.5000  6 V 2.77-2.78
Te 0.3398 0.1602 0.5000  6 V 2.77-2.78
Te 0.6602 0.8398 0.5000  6 V 2.77-2.78
Te 0.8398 0.3398 0.5000  6 V 2.77-2.78

Calculated values
DOS at the Fermi energy   0.808 states/eV/atom
Total magnetic moment   0.000 μB/atom
ΔE_f (raw)   0.096 eV/atom

Entry 2:
Computed, not measured: a relaxed V2ZnTe crystal at the GGA-PBE level of DFT.

Cell: 4.4753 4.4753 4.4753 Å, 60.00 60.00 60.00°
Closest atoms and distances in Å follow each position.
Fractional coordinates of all 4 atoms:
V 0.2500 0.2500 0.2500  4 Te 2.74, 4 Zn 2.74
V 0.7500 0.7500 0.7500  4 Te 2.74, 4 Zn 2.74
Zn 0.0000 0.0000 0.0000  8 V 2.74
Te 0.5000 0.5000 0.5000  8 V 2.74

Calculated values
DOS at the Fermi energy   1.626 states/eV/atom
Total magnetic moment   0.002 μB/atom
ΔE_f (raw)   0.312 eV/atom

Entry 3:
Computed, not measured: a relaxed VZnTe3 crystal at the GGA-PBE level of DFT.

Cell: 5.2598 5.2598 5.2598 Å, 90.00 90.00 90.00°
Closest atoms and distances in Å follow each position.
Fractional coordinates of all 5 atoms:
V 0.0000 0.0000 0.0000  12 Te 3.72
Zn 0.5000 0.5000 0.5000  6 Te 2.63
Te 0.0000 0.5000 0.5000  2 Zn 2.63
Te 0.5000 0.0000 0.5000  2 Zn 2.63
Te 0.5000 0.5000 0.0000  2 Zn 2.63

Calculated values
DOS at the Fermi energy   1.217 states/eV/atom
Total magnetic moment   0.571 μB/atom
ΔE_f (raw)   0.711 eV/atom

Q: total magnetic moment of number 1 (V2ZnTe2)?
A: 0.000 μB/atom